Record 1
Compound: MnCo2As
Source: the Alexandria database
Functional: PBEsol
Structure: optimized geometry

```
4
Lattice="3.090 0.000 0.000 0.000 3.090 0.000 0.000 0.000 4.986" Properties=species:S:1:pos:R:3 pbc="T T T"
Mn 0.000 0.000 0.000
Co 0.000 0.000 2.473
Co 1.545 1.545 3.901
As 1.545 1.545 1.451
```

* space group: P4mm (99)
* crystal system: tetragonal


Record 2
Compound: BaTlHg2
Source: the Alexandria database
Functional: PBEsol
Structure: optimized geometry

```
4
Lattice="5.437 -2.264 0.000 5.437 2.264 0.000 -2.820 0.000 4.799" Properties=species:S:1:pos:R:3 pbc="T T T"
Ba 0.000 0.000 0.000
Tl 7.691 0.000 1.352
Hg 0.437 0.000 3.495
Hg 4.137 0.000 2.463
```

* space group: Cm (8)
* crystal system: monoclinic
* polymorph energy (0 for the lowest one): 0.28 eV per formula unit


no.,formation energy from the elements (meV per atom),DFT total energy (eV/cell)
1,86,-30.0
2,-363,-7.4